This record from Alexandria describes an optimized crystal structure of SiIr2Au. The functional is GGA-PBE.

Formation energy (no corrections) (kJ per mole of atoms): -22.1
Spin magnetization (μB/atom): 0.000

Cell lengths 2.9098, 2.9098, 7.0084 Å; angles 90.00, 90.00, 90.00 degrees
With the nearest neighbours (Å) after each atom.
Space group P4/mmm (No. 123)
Inequivalent atoms, fractional coordinates:
Si: 0.0000 0.0000 0.0000 x1  8 Ir 2.49
Ir: 0.5000 0.5000 0.1997 x2  4 Si 2.49
Au: 0.0000 0.0000 0.5000 x1  4 Au 2.91, 8 Ir 2.94

---

This record from Alexandria describes an optimized crystal structure of Tm3Cd2Ga. The functional is GGA-PBE.

Formation energy (eV/atom): -0.394
Spin magnetization (μB/atom): 0.000

Cell lengths 3.6187, 3.6187, 11.0284 Å; angles 90.00, 90.00, 90.00 degrees
With the nearest neighbours (Å) after each atom.
Space group P4/mmm (No. 123)
Inequivalent atoms, fractional coordinates:
Tm: 0.0000 0.0000 0.0000 x1  8 Cd 3.17
Tm: 0.0000 0.0000 0.3458 x2  4 Ga 3.07, 4 Cd 3.21, 1 Tm 3.40
Cd: 0.5000 0.5000 0.1703 x2  8 Tm 3.17-3.21
Ga: 0.5000 0.5000 0.5000 x1  8 Tm 3.07

---

This record from Alexandria describes an optimized crystal structure of ZrGa3H. The functional is GGA-PBE.

Spin magnetization (μB/atom): 0.000
E_tot (eV per cell): -21.90

Cell lengths 4.1839, 4.1839, 4.1839 Å; angles 90.00, 90.00, 90.00 degrees
With the nearest neighbours (Å) after each atom.
Space group Pm-3m (No. 221)
Inequivalent atoms, fractional coordinates:
Zr: 0.0000 0.0000 0.0000 x1  12 Ga 2.96
Ga: 0.0000 0.5000 0.5000 x3  2 H 2.09
H: 0.5000 0.5000 0.5000 x1  6 Ga 2.09

---

This record from Alexandria describes an optimized crystal structure of CaTcPt2. The functional is GGA-PBE.

Formation energy (eV/atom): -0.053
Spin magnetization (μB/atom): 0.624

Cell lengths 4.2859, 4.2859, 7.6925 Å; angles 90.00, 90.00, 90.00 degrees
With the nearest neighbours (Å) after each atom.
Space group I4/mmm (No. 139)
Inequivalent atoms, fractional coordinates:
Ca: 0.0000 0.0000 0.0000 x2  8 Pt 2.88, 4 Tc 3.03
Tc: 0.0000 0.0000 0.5000 x2  8 Pt 2.88, 4 Ca 3.03
Pt: 0.0000 0.5000 0.2500 x4  4 Tc 2.88, 4 Ca 2.88, 4 Pt 3.03

---

This record from Alexandria describes an optimized crystal structure of KBaSb2. The functional is GGA-PBE.

Formation energy (no corrections) (kJ per mole of atoms): -54.3
Spin magnetization (μB/atom): 0.000

Cell lengths 7.3704, 10.0949, 3.7612 Å; angles 90.00, 90.26, 90.00 degrees
With the nearest neighbours (Å) after each atom.
Space group C2/m (No. 12)
Inequivalent atoms, fractional coordinates:
K: 0.0000 0.0000 0.0000 x2  8 Sb 3.64-3.65, 2 Ba 3.69, 2 K 3.76
Ba: 0.0000 0.5000 0.0000 x2  8 Sb 3.64-3.65, 2 K 3.69, 2 Ba 3.76
Sb: 0.2500 0.2500 0.5000 x4  4 Ba 3.64-3.65, 4 K 3.64-3.65, 4 Sb 3.69-3.76

---

This record from Alexandria describes an optimized crystal structure of ScNi2Te. The functional is GGA-PBE.

Formation energy (no corrections) (kJ per mole of atoms): -34.2
Spin magnetization (μB/atom): 0.000

Cell lengths 3.2710, 3.9975, 5.3798 Å; angles 90.00, 90.00, 90.00 degrees
With the nearest neighbours (Å) after each atom.
Space group Pmmm (No. 47)
Inequivalent atoms, fractional coordinates:
Sc: 0.0000 0.0000 0.0000 x1  8 Ni 2.84, 4 Te 3.15
Ni: 0.5000 0.5000 0.2186 x2  1 Ni 2.35, 2 Te 2.51
Te: 0.5000 0.0000 0.5000 x1  4 Ni 2.51

---

This record from Alexandria describes an optimized crystal structure of Li4Ca3Hg2. The functional is GGA-PBE.

Formation energy (eV/atom): -0.245
Spin magnetization (μB/atom): 0.000

Cell lengths 10.9442, 4.9970, 9.0256 Å; angles 90.00, 111.61, 90.00 degrees
With the nearest neighbours (Å) after each atom.
Space group C2/m (No. 12)
Inequivalent atoms, fractional coordinates:
Li: 0.0930 0.0000 0.1606 x4  2 Li 2.78-2.86, 2 Hg 2.80
Li: 0.2036 0.5000 0.5420 x4  1 Hg 2.75, 3 Li 2.78-2.90
Ca: 0.0000 0.0000 0.5000 x2  2 Hg 3.13, 6 Li 3.28-3.40
Ca: 0.1152 0.5000 0.8639 x4  4 Hg 3.18-3.46, 4 Li 3.28-3.38
Hg: 0.2148 0.5000 0.2429 x4  3 Li 2.75-2.80

---

This record from Alexandria describes an optimized crystal structure of NiAs2PbSe. The functional is GGA-PBE.

Formation energy (no corrections) (kJ per mole of atoms): 20.1
Spin magnetization (μB/atom): 0.000

Cell lengths 4.5376, 4.5376, 5.0519 Å; angles 90.00, 90.00, 90.00 degrees
With the nearest neighbours (Å) after each atom.
Space group P4/mmm (No. 123)
Inequivalent atoms, fractional coordinates:
Ni: 0.0000 0.0000 0.0000 x1  4 As 2.27, 2 Se 2.53
As: 0.0000 0.5000 0.0000 x2  2 Ni 2.27
Pb: 0.5000 0.5000 0.5000 x1  4 Se 3.21, 8 As 3.40
Se: 0.0000 0.0000 0.5000 x1  2 Ni 2.53

---

This record from Alexandria describes an optimized crystal structure of SrCo. The functional is GGA-PBE.

Formation energy (eV/atom): 0.653
Spin magnetization (μB/atom): 0.683

Cell lengths 6.3263, 6.3263, 5.9699 Å; angles 90.00, 90.00, 90.00 degrees
With the nearest neighbours (Å) after each atom.
Space group P4_2/mnm (No. 136)
Inequivalent atoms, fractional coordinates:
Sr: 0.1943 0.1943 0.0000 x4  4 Co 2.94-3.06
Co: 0.1216 0.1216 0.5000 x4  1 Co 2.18

---

This record from Alexandria describes an optimized crystal structure of SbAsSBr2. The functional is GGA-PBE.

Formation energy (no corrections) (kJ per mole of atoms): 53.9
Spin magnetization (μB/atom): 0.000

Cell lengths 4.9901, 4.9901, 5.2005 Å; angles 90.00, 90.00, 90.00 degrees
With the nearest neighbours (Å) after each atom.
Space group P4/mmm (No. 123)
Inequivalent atoms, fractional coordinates:
Sb: 0.0000 0.0000 0.0000 x1  4 As 3.53, 8 Br 3.60
As: 0.5000 0.5000 0.0000 x1  2 S 2.60
S: 0.5000 0.5000 0.5000 x1  4 Br 2.50, 2 As 2.60
Br: 0.0000 0.5000 0.5000 x2  2 S 2.50

---

This record from Alexandria describes an optimized crystal structure of ReTe3Au. The functional is GGA-PBE.

Formation energy (no corrections) (kJ per mole of atoms): 82.1
Spin magnetization (μB/atom): 0.000

Cell lengths 5.2266, 5.2266, 5.2266 Å; angles 90.00, 90.00, 90.00 degrees
With the nearest neighbours (Å) after each atom.
Space group Pm-3m (No. 221)
Inequivalent atoms, fractional coordinates:
Re: 0.0000 0.0000 0.0000 x1  6 Te 2.61
Te: 0.0000 0.0000 0.5000 x3  2 Re 2.61
Au: 0.5000 0.5000 0.5000 x1  12 Te 3.70

---

This record from Alexandria describes an optimized crystal structure of MnNiBr2. The functional is GGA-PBE.

Formation energy (no corrections) (kJ per mole of atoms): -4.2
Spin magnetization (μB/atom): 1.064

Cell lengths 3.9627, 6.2200, 7.7258 Å; angles 90.00, 90.00, 90.00 degrees
With the nearest neighbours (Å) after each atom.
Space group Cmm2 (No. 35)
Inequivalent atoms, fractional coordinates:
Mn: 0.0000 0.0000 0.0000 x2  2 Ni 2.42, 3 Br 2.50-2.65
Ni: 0.0000 0.5000 0.1792 x2  2 Br 2.35, 2 Mn 2.42
Br: 0.0000 0.0000 0.3427 x2  2 Ni 2.35
Br: 0.0000 0.5000 0.8023 x2  2 Mn 2.50

---

This record from Alexandria describes an optimized crystal structure of CrTcW2. The functional is GGA-PBE.

Formation energy (eV/atom): 0.101
Spin magnetization (μB/atom): 0.000

Cell lengths 3.0855, 4.4498, 8.6188 Å; angles 90.00, 90.00, 90.00 degrees
With the nearest neighbours (Å) after each atom.
Space group Cmmm (No. 65)
Inequivalent atoms, fractional coordinates:
Cr: 0.0000 0.0000 0.0000 x2  4 W 2.59, 4 Cr 2.71
Tc: 0.0000 0.0000 0.5000 x2  4 Tc 2.71, 4 W 2.72
W: 0.0000 0.5000 0.2407 x4  2 Cr 2.59, 4 W 2.71, 2 Tc 2.72

---

This record from Alexandria describes an optimized crystal structure of Mg5Zn. The functional is GGA-PBE.

Formation energy (eV/atom): -0.008
Spin magnetization (μB/atom): 0.000

Cell lengths 4.2956, 13.1927, 4.4879 Å; angles 90.00, 90.00, 90.00 degrees
With the nearest neighbours (Å) after each atom.
Space group Cmmm (No. 65)
Inequivalent atoms, fractional coordinates:
Mg: 0.0000 0.0000 0.0000 x2  8 Mg 3.04-3.07, 4 Zn 3.11
Mg: 0.0000 0.1592 0.5000 x4  2 Zn 3.00, 10 Mg 3.07-3.24
Mg: 0.0000 0.3364 0.0000 x4  10 Mg 3.04-3.24, 2 Zn 3.11
Zn: 0.0000 0.5000 0.5000 x2  12 Mg 3.00-3.11

---

This record from Alexandria describes an optimized crystal structure of Ca2HfSn2. The functional is GGA-PBE.

Formation energy (eV/atom): -0.221
Spin magnetization (μB/atom): 0.092

Cell lengths 8.6402, 8.6402, 3.6683 Å; angles 90.00, 90.00, 90.00 degrees
With the nearest neighbours (Å) after each atom.
Space group P4/mbm (No. 127)
Inequivalent atoms, fractional coordinates:
Ca: 0.1354 0.3646 0.0000 x4  6 Sn 3.01-3.22, 1 Ca 3.31
Hf: 0.0000 0.0000 0.5000 x2  4 Sn 3.21
Sn: 0.1692 0.6692 0.5000 x4  6 Ca 3.01-3.22, 2 Hf 3.21

---

This record from Alexandria describes an optimized crystal structure of RbMg2GaSe4. The functional is GGA-PBE.

Formation energy (no corrections) (kJ per mole of atoms): -98.1
Spin magnetization (μB/atom): 0.000

Cell lengths 3.9071, 15.2337, 14.5159 Å; angles 90.00, 90.00, 90.00 degrees
With the nearest neighbours (Å) after each atom.
Space group Cmcm (No. 63)
Inequivalent atoms, fractional coordinates:
Rb: 0.0000 0.1337 0.2500 x4  6 Se 3.41-3.57, 2 Ga 3.81
Mg: 0.0000 0.3926 0.0615 x8  5 Se 2.70-2.88
Ga: 0.0000 0.1516 0.7500 x4  4 Se 2.39-2.50
Se: 0.0000 0.0000 0.0000 x4  4 Mg 2.70
Se: 0.0000 0.2266 0.6053 x8  1 Ga 2.39
Se: 0.0000 0.4505 0.2500 x4  2 Ga 2.50

---

This record from Alexandria describes an optimized crystal structure of ZrMo2Ru. The functional is GGA-PBE.

Formation energy (eV/atom): -0.001
Spin magnetization (μB/atom): 0.000

Cell lengths 5.4095, 9.1307, 2.8595 Å; angles 90.00, 109.72, 90.00 degrees
With the nearest neighbours (Å) after each atom.
Space group C2/m (No. 12)
Inequivalent atoms, fractional coordinates:
Zr: 0.0000 0.0000 0.0000 x2  2 Ru 2.70, 4 Mo 2.79, 2 Zr 2.86
Mo: 0.2500 0.2500 0.5000 x4  4 Mo 2.70-2.86, 2 Zr 2.79, 2 Ru 2.79
Ru: 0.0000 0.5000 0.0000 x2  2 Zr 2.70, 4 Mo 2.79, 2 Ru 2.86

---

This record from Alexandria describes an optimized crystal structure of SrTcSe. The functional is GGA-PBE.

Formation energy (no corrections) (kJ per mole of atoms): -16.7
Spin magnetization (μB/atom): 0.000

Cell lengths 3.3614, 3.3614, 11.4786 Å; angles 90.00, 90.00, 90.00 degrees
With the nearest neighbours (Å) after each atom.
Space group I4mm (No. 107)
Inequivalent atoms, fractional coordinates:
Sr: 0.0000 0.0000 0.0000 x2  5 Tc 3.33-3.41, 5 Se 3.35-3.37, 4 Sr 3.36
Tc: 0.0000 0.0000 0.7031 x2  4 Se 2.59
Se: 0.0000 0.0000 0.2917 x2  4 Tc 2.59

---

This record from Alexandria describes an optimized crystal structure of RbTiAl2O6. The functional is GGA-PBE.

Formation energy (no corrections) (kJ per mole of atoms): -247.3
Spin magnetization (μB/atom): 0.106

Cell lengths 8.8437, 12.1032, 6.1170 Å; angles 90.00, 110.08, 90.00 degrees
With the nearest neighbours (Å) after each atom.
Space group C2/c (No. 15)
Inequivalent atoms, fractional coordinates:
Rb: 0.0000 0.0989 0.2500 x4  6 O 2.85-2.96
Ti: 0.0000 0.2058 0.7500 x4  4 O 1.81-1.84
Al: 0.1257 0.4193 0.1322 x8  4 O 1.77-1.86
O: 0.0478 0.2897 0.0095 x8  1 Al 1.77, 1 Ti 1.81
O: 0.1098 0.4745 0.4066 x8  2 Al 1.86
O: 0.1626 0.1084 0.7608 x8  1 Al 1.79, 1 Ti 1.84

---

This record from Alexandria describes an optimized crystal structure of ScSnI. The functional is GGA-PBE.

Formation energy (no corrections) (kJ per mole of atoms): -67.7
Spin magnetization (μB/atom): 0.000

Cell lengths 3.9569, 22.7206, 4.3176 Å; angles 90.00, 90.00, 90.00 degrees
With the nearest neighbours (Å) after each atom.
Space group Cmcm (No. 63)
Inequivalent atoms, fractional coordinates:
Sc: 0.0000 0.0788 0.2500 x4  2 I 2.94, 4 Sn 3.04
Sn: 0.0000 0.4565 0.2500 x4  2 Sn 2.93, 4 Sc 3.04
I: 0.0000 0.3252 0.7500 x4  2 Sc 2.94

---

This record from Alexandria describes an optimized crystal structure of La2Er3Co2. The functional is GGA-PBE.

Formation energy (eV/atom): -0.116
Spin magnetization (μB/atom): 0.000

Cell lengths 12.6318, 3.9084, 9.1111 Å; angles 90.00, 120.18, 90.00 degrees
With the nearest neighbours (Å) after each atom.
Space group C2/m (No. 12)
Inequivalent atoms, fractional coordinates:
La: 0.0997 0.0000 0.4031 x4  1 Co 2.44
Er: 0.0000 0.5000 0.0000 x2  4 Co 2.72
Er: 0.2067 0.5000 0.8157 x4  3 Co 2.72
Co: 0.0842 0.0000 0.8770 x4  1 La 2.44, 5 Er 2.72

---

This record from Alexandria describes an optimized crystal structure of KAl2Tc. The functional is GGA-PBE.

Formation energy (eV/atom): 0.354
Spin magnetization (μB/atom): 0.000

Cell lengths 9.1500, 2.7772, 7.7586 Å; angles 90.00, 95.07, 90.00 degrees
With the nearest neighbours (Å) after each atom.
Space group Cm (No. 8)
Inequivalent atoms, fractional coordinates:
K: 0.0000 0.0000 0.0000 x2  2 K 2.78
Al: 0.0073 0.5000 0.5830 x2  3 Tc 2.49-2.56, 2 Al 2.78
Al: 0.2630 0.5000 0.3559 x2  2 Tc 2.56, 2 Al 2.78
Tc: 0.2419 0.0000 0.6296 x2  5 Al 2.49-2.56, 2 Tc 2.78

---

This record from Alexandria describes an optimized crystal structure of PmMg11Tl. The functional is GGA-PBE.

Formation energy (eV/atom): -0.055
Spin magnetization (μB/atom): 0.000

Cell lengths 5.9415, 14.5209, 7.7810 Å; angles 90.00, 111.58, 90.00 degrees
With the nearest neighbours (Å) after each atom.
Space group C2/m (No. 12)
Inequivalent atoms, fractional coordinates:
Pm: 0.0000 0.0000 0.0000 x2  18 Mg 3.61-3.92, 2 Tl 3.93
Mg: 0.0000 0.0000 0.5000 x2  2 Tl 2.97, 8 Mg 3.00-3.13
Mg: 0.1091 0.3942 0.2109 x8  7 Mg 2.96-3.31, 1 Tl 2.99
Mg: 0.1685 0.1768 0.3507 x8  8 Mg 3.03-3.35, 1 Tl 3.18
Mg: 0.2500 0.2500 0.0000 x4  10 Mg 2.96-3.13
Tl: 0.0000 0.5000 0.5000 x2  10 Mg 2.97-3.18

---

This record from Alexandria describes an optimized crystal structure of Th3Si6Pt20. The functional is GGA-PBE.

Formation energy (no corrections) (kJ per mole of atoms): -80.8
Spin magnetization (μB/atom): 0.000

Cell lengths 12.4930, 12.4930, 12.4930 Å; angles 90.00, 90.00, 90.00 degrees
With the nearest neighbours (Å) after each atom.
Space group Fm-3m (No. 225)
Inequivalent atoms, fractional coordinates:
Th: 0.0000 0.0000 0.0000 x4  12 Pt 3.06, 6 Si 3.33
Th: 0.2500 0.2500 0.2500 x8  4 Pt 2.93
Si: 0.0000 0.0000 0.2666 x24  8 Pt 2.46-2.51
Pt: 0.0000 0.1733 0.1733 x48  2 Si 2.46, 1 Pt 2.71
Pt: 0.1148 0.1148 0.3852 x32  3 Si 2.51